{
  "formula": "Pm3HgPb2",
  "functional": "PBE",
  "state": "optimized geometry",
  "polymorph_energy_kj_per_mol_atoms": 0.0,
  "energy_ev_per_atom": -4.1410,
  "dos_at_fermi_per_ev_atom": 0.829,
  "ef_ev_per_atom": -0.479,
  "m_tot_mub_per_cell": 0.00,
  "crystal_system": "orthorhombic",
  "lattice_angstrom": [[12.764, 0.000, 0.000], [0.000, 4.802, 0.000], [0.000, 0.000, 12.013]],
  "species": ["Pm", "Pm", "Pm", "Pm", "Pm", "Pm", "Pm", "Pm", "Pm", "Pm", "Pm", "Pm", "Hg", "Hg", "Hg", "Hg", "Pb", "Pb", "Pb", "Pb", "Pb", "Pb", "Pb", "Pb"],
  "fractional_positions": [[0.039, 0.250, 0.126], [0.136, 0.750, 0.570], [0.205, 0.250, 0.815], [0.295, 0.750, 0.315], [0.364, 0.250, 0.070], [0.461, 0.750, 0.626], [0.539, 0.250, 0.374], [0.636, 0.750, 0.930], [0.705, 0.250, 0.685], [0.795, 0.750, 0.185], [0.864, 0.250, 0.430], [0.961, 0.750, 0.874], [0.152, 0.250, 0.350], [0.348, 0.750, 0.850], [0.652, 0.250, 0.150], [0.848, 0.750, 0.650], [0.006, 0.750, 0.327], [0.182, 0.750, 0.031], [0.318, 0.250, 0.531], [0.494, 0.250, 0.827], [0.506, 0.750, 0.173], [0.682, 0.750, 0.469], [0.818, 0.250, 0.969], [0.994, 0.250, 0.673]]
}